The following is a GGA-PBE calculation of a geometry-optimized Y2Al5Rh3 structure, from the Alexandria database.

Computed properties:
For the energy relative to the elements, the calculation gives -819 meV/atom. The calculation puts the final energy at -6.189 eV/atom.

Cell: 12.600 12.600 6.781 Å, 90.00 90.00 160.54°
Atoms (fractional coordinates):
Y 0.023 0.977 0.500
Y 0.325 0.675 0.433
Y 0.675 0.325 0.933
Y 0.977 0.023 0.000
Al 0.100 0.900 0.127
Al 0.207 0.793 0.615
Al 0.212 0.788 0.222
Al 0.371 0.629 0.965
Al 0.445 0.555 0.329
Al 0.555 0.445 0.829
Al 0.629 0.371 0.465
Al 0.788 0.212 0.722
Al 0.793 0.207 0.115
Al 0.900 0.100 0.627
Rh 0.109 0.891 0.746
Rh 0.271 0.729 0.915
Rh 0.452 0.548 0.712
Rh 0.548 0.452 0.212
Rh 0.729 0.271 0.415
Rh 0.891 0.109 0.246

The following is a GGA-PBE calculation of a geometry-optimized Y6AlRh2 structure, from the Alexandria database.

Computed properties:
For the energy relative to the elements, the calculation gives -553 meV/atom. The calculation puts the final energy at -6.911 eV/atom.

Cell: 8.464 8.464 8.464 Å, 112.60 111.30 104.62°
Atoms (fractional coordinates):
Y 0.044 0.239 0.804
Y 0.180 0.284 0.464
Y 0.180 0.716 0.896
Y 0.329 0.023 0.694
Y 0.329 0.635 0.306
Y 0.435 0.239 0.196
Y 0.565 0.761 0.804
Y 0.671 0.365 0.694
Y 0.671 0.977 0.306
Y 0.820 0.284 0.104
Y 0.820 0.716 0.536
Y 0.956 0.761 0.196
Al 0.000 0.000 0.000
Al 0.500 0.500 0.000
Rh 0.132 0.632 0.500
Rh 0.328 0.000 0.328
Rh 0.672 0.000 0.672
Rh 0.868 0.368 0.500

The following is a GGA-PBE calculation of a geometry-optimized Y2Al3Rh structure, from the Alexandria database.

Computed properties:
For the energy relative to the elements, the calculation gives -711 meV/atom. The calculation puts the final energy at -5.962 eV/atom.

Cell: 5.434 5.434 5.434 Å, 61.02 61.02 61.02°
Atoms (fractional coordinates):
Y 0.126 0.126 0.126
Y 0.874 0.874 0.874
Al 0.000 0.500 0.500
Al 0.500 0.000 0.500
Al 0.500 0.500 0.000
Rh 0.500 0.500 0.500

The following is a GGA-PBE calculation of a geometry-optimized Y4Al3Rh structure, from the Alexandria database.

Computed properties:
For the energy relative to the elements, the calculation gives -530 meV/atom. The calculation puts the final energy at -6.084 eV/atom.

Cell: 3.854 4.429 11.245 Å, 90.00 90.00 90.00°
Atoms (fractional coordinates):
Y 0.000 0.000 0.000
Y 0.000 0.500 0.274
Y 0.500 0.000 0.469
Y 0.500 0.500 0.788
Al 0.000 0.000 0.700
Al 0.000 0.500 0.562
Al 0.500 0.500 0.066
Rh 0.500 0.000 0.198

The following is a GGA-PBE calculation of a geometry-optimized YAlRh structure, from the Alexandria database.

Computed properties:
For the energy relative to the elements, the calculation gives 197 meV/atom. The calculation puts the final energy at -5.655 eV/atom.

Cell: 4.652 4.652 4.652 Å, 60.00 60.00 60.00°
Atoms (fractional coordinates):
Y 0.000 0.000 0.000
Al 0.250 0.250 0.250
Rh 0.750 0.750 0.750

The following is a GGA-PBE calculation of a geometry-optimized Y2AlRh2 structure, from the Alexandria database.

Computed properties:
For the energy relative to the elements, the calculation gives -894 meV/atom. The calculation puts the final energy at -7.169 eV/atom.

Cell: 5.773 5.773 7.572 Å, 102.57 102.57 56.80°
Atoms (fractional coordinates):
Y 0.004 0.290 0.149
Y 0.290 0.004 0.649
Y 0.710 0.996 0.351
Y 0.996 0.710 0.851
Al 0.368 0.632 0.250
Al 0.632 0.368 0.750
Rh 0.232 0.506 0.494
Rh 0.494 0.768 0.006
Rh 0.506 0.232 0.994
Rh 0.768 0.494 0.506

The following is a GGA-PBE calculation of a geometry-optimized YAl8Rh4 structure, from the Alexandria database.

Computed properties:
For the energy relative to the elements, the calculation gives -815 meV/atom. The calculation puts the final energy at -5.877 eV/atom.

Cell: 6.720 6.720 6.720 Å, 99.55 99.55 131.93°
Atoms (fractional coordinates):
Y 0.000 0.000 0.000
Al 0.000 0.343 0.343
Al 0.000 0.657 0.657
Al 0.275 0.500 0.775
Al 0.343 0.000 0.343
Al 0.500 0.275 0.775
Al 0.500 0.725 0.225
Al 0.657 0.000 0.657
Al 0.725 0.500 0.225
Rh 0.000 0.000 0.500
Rh 0.000 0.500 0.000
Rh 0.500 0.000 0.000
Rh 0.500 0.500 0.500

The following is a GGA-PBE calculation of a geometry-optimized Y2Al9Rh3 structure, from the Alexandria database.

Computed properties:
For the energy relative to the elements, the calculation gives -842 meV/atom. The calculation puts the final energy at -5.747 eV/atom.

Cell: 7.545 7.545 9.494 Å, 90.00 90.00 60.61°
Atoms (fractional coordinates):
Y 0.005 0.672 0.750
Y 0.328 0.995 0.750
Y 0.672 0.005 0.250
Y 0.995 0.328 0.250
Al 0.001 0.665 0.075
Al 0.001 0.665 0.425
Al 0.129 0.871 0.250
Al 0.333 0.667 0.550
Al 0.333 0.667 0.950
Al 0.335 0.999 0.075
Al 0.335 0.999 0.425
Al 0.340 0.450 0.250
Al 0.450 0.340 0.750
Al 0.550 0.660 0.250
Al 0.660 0.550 0.750
Al 0.665 0.001 0.575
Al 0.665 0.001 0.925
Al 0.667 0.333 0.050
Al 0.667 0.333 0.450
Al 0.871 0.129 0.750
Al 0.999 0.335 0.575
Al 0.999 0.335 0.925
Rh 0.000 0.000 0.000
Rh 0.000 0.000 0.500
Rh 0.328 0.328 0.000
Rh 0.328 0.328 0.500
Rh 0.672 0.672 0.000
Rh 0.672 0.672 0.500

The following is a GGA-PBE calculation of a geometry-optimized YAl2Rh structure, from the Alexandria database.

Computed properties:
For the energy relative to the elements, the calculation gives -609 meV/atom. The calculation puts the final energy at -5.934 eV/atom.

Cell: 3.237 3.237 6.978 Å, 90.00 90.00 90.00°
Atoms (fractional coordinates):
Y 0.000 0.000 0.000
Al 0.000 0.000 0.543
Al 0.500 0.500 0.314
Rh 0.500 0.500 0.711

The following is a GGA-PBE calculation of a geometry-optimized Y2AlRh structure, from the Alexandria database.

Computed properties:
For the energy relative to the elements, the calculation gives -199 meV/atom. The calculation puts the final energy at -6.205 eV/atom.

Cell: 6.381 6.381 6.381 Å, 103.13 103.13 123.06°
Atoms (fractional coordinates):
Y 0.079 0.625 0.954
Y 0.375 0.329 0.454
Y 0.671 0.125 0.046
Y 0.875 0.921 0.546
Al 0.250 0.750 0.500
Al 0.500 0.500 0.000
Rh 0.000 0.000 0.000
Rh 0.750 0.250 0.500

The following is a GGA-PBE calculation of a geometry-optimized YAl2Rh structure, from the Alexandria database.

Computed properties:
For the energy relative to the elements, the calculation gives -200 meV/atom. The calculation puts the final energy at -5.525 eV/atom.

Cell: 9.003 9.003 9.003 Å, 149.64 149.64 43.48°
Atoms (fractional coordinates):
Y 0.000 0.000 0.000
Y 0.750 0.250 0.500
Al 0.299 0.625 0.174
Al 0.375 0.549 0.674
Al 0.451 0.125 0.826
Al 0.875 0.701 0.326
Rh 0.250 0.750 0.500
Rh 0.500 0.500 0.000

The following is a GGA-PBE calculation of a geometry-optimized YAl2Rh structure, from the Alexandria database.

Computed properties:
For the energy relative to the elements, the calculation gives -833 meV/atom. The calculation puts the final energy at -6.159 eV/atom.

Cell: 15.071 7.120 5.629 Å, 90.00 90.00 90.00°
Atoms (fractional coordinates):
Y 0.101 0.250 0.240
Y 0.137 0.750 0.463
Y 0.363 0.250 0.963
Y 0.399 0.750 0.740
Y 0.601 0.250 0.260
Y 0.637 0.750 0.037
Y 0.863 0.250 0.537
Y 0.899 0.750 0.760
Al 0.042 0.059 0.756
Al 0.042 0.441 0.756
Al 0.212 0.551 0.938
Al 0.212 0.949 0.938
Al 0.288 0.051 0.438
Al 0.288 0.449 0.438
Al 0.458 0.559 0.256
Al 0.458 0.941 0.256
Al 0.542 0.059 0.744
Al 0.542 0.441 0.744
Al 0.712 0.551 0.562
Al 0.712 0.949 0.562
Al 0.788 0.051 0.062
Al 0.788 0.449 0.062
Al 0.958 0.559 0.244
Al 0.958 0.941 0.244
Rh 0.072 0.750 0.990
Rh 0.189 0.250 0.704
Rh 0.311 0.750 0.204
Rh 0.428 0.250 0.490
Rh 0.572 0.750 0.510
Rh 0.689 0.250 0.796
Rh 0.811 0.750 0.296
Rh 0.928 0.250 0.010